First-principles (PBE with a Hubbard U) data for a geometry-optimized La2MoF structure, as listed in Alexandria via LeMat-Bulk.

**DFT total energy**: -4.938 eV/atom
**Total moment**: 10.970 μB/cell
**Calculated volume**: 26.177 Å³ per atom
**Energy relative to the lowest polymorph listed for this composition**: 44.3 kJ/mol of atoms

Cell lengths 7.482, 7.482, 7.482 Å; angles 90.00, 90.00, 90.00 degrees
Space group Fm-3m (No. 225)
Unique sites:
La (0.250, 0.250, 0.250) [8 per cell]
Mo (0.000, 0.000, 0.000) [4 per cell]
F (0.000, 0.000, 0.500) [4 per cell]